Entry from Alexandria via LeMat-Bulk: a relaxed CdHgSb2 crystal (GGA-PBE).

Cell lengths 6.4551, 6.4551, 6.4551 Å; angles 140.49, 140.49, 57.11 degrees
Sites, in units of the cell vectors:
Sb: 0.5000 0.5000 0.0000
Sb: 0.0000 0.0000 0.0000
Hg: 0.7500 0.2500 0.5000
Cd: 0.2500 0.7500 0.5000

Computed properties:
- raw formation energy (meV per atom) = 168
- V (Å³/atom) = 26.99
- SG = I4/mmm (139)
- distance to the lowest polymorph of the same formula (kcal/mol of atoms) = 1.74
- D(E_F) (states/eV per cell) = 2.44
- crystal system = tetragonal
- raw total energy (eV per cell) = -8.8


Entry from Alexandria via LeMat-Bulk: a relaxed Cd2HgSb crystal (GGA-PBE).

Cell lengths 3.2250, 5.5211, 5.6901 Å; angles 90.00, 90.00, 90.00 degrees
Sites, in units of the cell vectors:
Sb: 0.0000 0.5000 0.5000
Hg: 0.5000 0.0000 0.5000
Cd: 0.0000 0.0000 0.0000
Cd: 0.5000 0.5000 0.0000

Computed properties:
- raw formation energy (meV per atom) = 112
- V (Å³/atom) = 25.33
- SG = Pmmm (47)
- distance to the lowest polymorph of the same formula (kcal/mol of atoms) = 1.97
- D(E_F) (states/eV per cell) = 1.66
- crystal system = orthorhombic
- raw total energy (eV per cell) = -5.8


Entry from Alexandria via LeMat-Bulk: a relaxed Cd8Hg4Sb crystal (GGA-PBE).

Cell lengths 4.5450, 4.4961, 16.1505 Å; angles 90.00, 90.00, 90.00 degrees
Sites, in units of the cell vectors:
Hg: 0.5000 0.0000 0.9053
Hg: 0.0000 0.5000 0.6190
Hg: 0.0000 0.0000 0.0523
Hg: 0.5000 0.5000 0.4289
Cd: 0.0000 0.5000 0.9087
Cd: 0.0000 0.0000 0.7657
Cd: 0.0000 0.0000 0.4903
Cd: 0.5000 0.5000 0.7593
Cd: 0.5000 0.5000 0.0548
Cd: 0.5000 0.0000 0.1954
Cd: 0.0000 0.5000 0.1948
Cd: 0.5000 0.0000 0.6196
Sb: 0.0000 0.0000 0.3090

Computed properties:
- raw formation energy (meV per atom) = 35
- V (Å³/atom) = 25.39
- SG = Pmm2 (25)
- D(E_F) (states/eV per cell) = 4.35
- crystal system = orthorhombic
- raw total energy (eV per cell) = -12.2


Entry from Alexandria via LeMat-Bulk: a relaxed CdHgSb2 crystal (GGA-PBE).

Cell lengths 10.5777, 10.5777, 10.5777 Å; angles 18.76, 18.76, 18.76 degrees
Sites, in units of the cell vectors:
Hg: 0.7500 0.7500 0.7500
Sb: 0.9949 0.9949 0.9949
Sb: 0.5051 0.5051 0.5051
Cd: 0.2500 0.2500 0.2500

Computed properties:
- raw formation energy (meV per atom) = 161
- V (Å³/atom) = 26.75
- SG = R-3m (166)
- distance to the lowest polymorph of the same formula (kcal/mol of atoms) = 1.59
- D(E_F) (states/eV per cell) = 1.62
- crystal system = trigonal
- raw total energy (eV per cell) = -8.8


Entry from Alexandria via LeMat-Bulk: a relaxed Cd5Hg2Sb2 crystal (GGA-PBE).

Cell lengths 4.5652, 7.7779, 9.3478 Å; angles 126.54, 70.13, 115.42 degrees
Sites, in units of the cell vectors:
Sb: 0.7870 0.7857 0.2889
Sb: 0.2130 0.2143 0.7111
Cd: 0.3717 0.6874 0.0467
Cd: 0.0000 0.0000 0.0000
Cd: 0.1077 0.7081 0.4876
Cd: 0.6283 0.3126 0.9533
Cd: 0.8923 0.2919 0.5124
Hg: 0.5376 0.2754 0.2706
Hg: 0.4624 0.7246 0.7294

Computed properties:
- raw formation energy (meV per atom) = 35
- V (Å³/atom) = 26.58
- SG = P-1 (2)
- D(E_F) (states/eV per cell) = 2.91
- crystal system = triclinic
- raw total energy (eV per cell) = -13.1


Entry from Alexandria via LeMat-Bulk: a relaxed CdHg4Sb crystal (GGA-PBE).

Cell lengths 6.0992, 6.0992, 6.0992 Å; angles 60.00, 60.00, 60.00 degrees
Sites, in units of the cell vectors:
Cd: 0.0000 0.0000 0.0000
Hg: 0.8749 0.3750 0.3750
Hg: 0.3750 0.3750 0.3750
Hg: 0.3750 0.8749 0.3750
Hg: 0.3750 0.3750 0.8749
Sb: 0.7500 0.7500 0.7500

Computed properties:
- raw formation energy (meV per atom) = 250
- V (Å³/atom) = 26.74
- SG = F-43m (216)
- D(E_F) (states/eV per cell) = 4.34
- crystal system = cubic
- raw total energy (eV per cell) = -4.7


Entry from Alexandria via LeMat-Bulk: a relaxed Cd2HgSb crystal (GGA-PBE).

Cell lengths 3.3721, 3.3721, 9.2590 Å; angles 90.00, 90.00, 105.99 degrees
Sites, in units of the cell vectors:
Cd: 0.0000 0.0000 0.0095
Cd: 0.0000 0.0000 0.4905
Hg: 0.5000 0.5000 0.2500
Sb: 0.5000 0.5000 0.7500

Computed properties:
- raw formation energy (meV per atom) = 88
- V (Å³/atom) = 25.30
- SG = Cmmm (65)
- distance to the lowest polymorph of the same formula (kcal/mol of atoms) = 1.42
- D(E_F) (states/eV per cell) = 1.31
- crystal system = orthorhombic
- raw total energy (eV per cell) = -5.9


Entry from Alexandria via LeMat-Bulk: a relaxed Cd4Hg2Sb crystal (GGA-PBE).

Cell lengths 4.9015, 7.9652, 5.6369 Å; angles 119.15, 92.59, 104.25 degrees
Sites, in units of the cell vectors:
Cd: 0.8699 0.7734 0.3588
Cd: 0.1301 0.2266 0.6412
Cd: 0.6218 0.2534 0.0188
Cd: 0.3782 0.7466 0.9812
Hg: 0.7292 0.4493 0.6513
Hg: 0.2708 0.5507 0.3487
Sb: 0.0000 0.0000 0.0000

Computed properties:
- raw formation energy (meV per atom) = 47
- V (Å³/atom) = 26.10
- SG = P-1 (2)
- D(E_F) (states/eV per cell) = 1.73
- crystal system = triclinic
- raw total energy (eV per cell) = -8.1


Entry from Alexandria via LeMat-Bulk: a relaxed Cd2HgSb crystal (GGA-PBE).

Cell lengths 5.8932, 5.8932, 5.6995 Å; angles 89.17, 89.17, 31.75 degrees
Sites, in units of the cell vectors:
Cd: 0.0065 0.0065 0.8742
Cd: 0.2443 0.2443 0.3755
Hg: 0.5040 0.5040 0.3748
Sb: 0.7452 0.7452 0.8755

Computed properties:
- raw formation energy (meV per atom) = 67
- V (Å³/atom) = 26.04
- SG = Cm (8)
- distance to the lowest polymorph of the same formula (kcal/mol of atoms) = 0.94
- D(E_F) (states/eV per cell) = 1.15
- crystal system = monoclinic
- raw total energy (eV per cell) = -6.0


Entry from Alexandria via LeMat-Bulk: a relaxed Cd2HgSb crystal (GGA-PBE).

Cell lengths 3.4174, 4.4959, 6.4648 Å; angles 90.00, 90.00, 90.00 degrees
Sites, in units of the cell vectors:
Cd: 0.0000 0.0000 0.4901
Cd: 0.0000 0.0000 0.0099
Hg: 0.5000 0.5000 0.2500
Sb: 0.5000 0.5000 0.7500

Computed properties:
- raw formation energy (meV per atom) = 77
- V (Å³/atom) = 24.83
- SG = Pmmm (47)
- distance to the lowest polymorph of the same formula (kcal/mol of atoms) = 1.17
- D(E_F) (states/eV per cell) = 1.12
- crystal system = orthorhombic
- raw total energy (eV per cell) = -5.9


Entry from Alexandria via LeMat-Bulk: a relaxed Cd2Hg2Sb crystal (GGA-PBE).

Cell lengths 8.5376, 8.5376, 3.5059 Å; angles 90.00, 90.00, 90.00 degrees
Sites, in units of the cell vectors:
Cd: 0.8262 0.6738 0.0000
Cd: 0.3262 0.8262 0.0000
Cd: 0.1738 0.3262 0.0000
Cd: 0.6738 0.1738 0.0000
Hg: 0.8721 0.3721 0.5000
Hg: 0.6279 0.8721 0.5000
Hg: 0.1279 0.6279 0.5000
Hg: 0.3721 0.1279 0.5000
Sb: 0.5000 0.5000 0.0000
Sb: 0.0000 0.0000 0.0000

Computed properties:
- raw formation energy (meV per atom) = 86
- V (Å³/atom) = 25.55
- SG = P4/mbm (127)
- distance to the lowest polymorph of the same formula (kcal/mol of atoms) = 0.00
- D(E_F) (states/eV per cell) = 4.61
- crystal system = tetragonal
- raw total energy (eV per cell) = -12.2